Compound: NiF4
Source: Alexandria
Functional: GGA+U
Structure: optimized geometry

abc: 5.4056 3.1052 7.9651
angles: 90.00 95.86 90.00
Closest atoms and distances in Å follow each position.
Space group C2/m (No. 12)
Unique sites:
Ni 0.0000 0.0000 0.0000  6 F 2.04
F 0.0407 0.5000 0.4173  1 F 1.43
F 0.1851 0.5000 0.1220  3 Ni 2.04

DOS at the Fermi energy: 0.00 states/eV/atom
calculated volume: 133 Å³ per cell
calculated total energy: -3.2690 eV per atom